{"formula": "BeSnMo3", "functional": "GGA-PBE", "state": "relaxed", "lattice_angstrom": [[-0.012, -4.250, -0.729], [1.254, 0.694, -4.067], [4.125, -0.224, 1.234]], "species": ["Be", "Mo", "Mo", "Mo", "Sn"], "fractional_positions": [[0.000, 0.000, 0.000], [0.000, 0.500, 0.000], [0.000, 0.000, 0.500], [0.500, 0.000, 0.000], [0.500, 0.500, 0.500]], "density_g_cm3": 8.607, "crystal_system": "cubic", "formation_energy_mev_per_atom": 592, "spacegroup": "Pm-3m (221)"}